No. 1
Below is a relaxed Tl3ReCl8 crystal, with properties calculated at the PBE level.

Values from the calculation:
Uncorrected formation energy (meV/atom): -799
Symmetry: No. 186
Fermi-level density of states (states/eV/atom): 0.614
Total energy (eV per atom): -3.6594

Unit cell a=9.297 b=9.297 c=9.628 alpha=90.00 beta=90.00 gamma=120.00
Fractional coordinates of all 24 atoms:
Tl 0.151 0.302 0.000
Tl 0.151 0.849 0.000
Tl 0.302 0.151 0.500
Tl 0.698 0.849 0.000
Tl 0.849 0.151 0.500
Tl 0.849 0.698 0.500
Re 0.333 0.667 0.496
Re 0.667 0.333 0.996
Cl 0.000 0.000 0.272
Cl 0.000 0.000 0.772
Cl 0.095 0.548 0.360
Cl 0.214 0.428 0.636
Cl 0.214 0.786 0.636
Cl 0.333 0.667 0.021
Cl 0.428 0.214 0.136
Cl 0.452 0.548 0.360
Cl 0.452 0.905 0.360
Cl 0.548 0.095 0.860
Cl 0.548 0.452 0.860
Cl 0.572 0.786 0.636
Cl 0.667 0.333 0.521
Cl 0.786 0.214 0.136
Cl 0.786 0.572 0.136
Cl 0.905 0.452 0.860



No. 2
Below is a relaxed TlRe4Cl crystal, with properties calculated at the PBE level.

Values from the calculation:
Uncorrected formation energy (meV/atom): 1263
Symmetry: No. 216
Fermi-level density of states (states/eV/atom): 1.024
Total energy (eV per atom): -7.7375

Unit cell a=5.350 b=5.350 c=5.350 alpha=60.00 beta=60.00 gamma=60.00
Fractional coordinates of all 6 atoms:
Tl 0.000 0.000 0.000
Re 0.377 0.377 0.377
Re 0.377 0.377 0.870
Re 0.377 0.870 0.377
Re 0.870 0.377 0.377
Cl 0.750 0.750 0.750



No. 3
Below is a relaxed TlReCl3 crystal, with properties calculated at the PBE level.

Values from the calculation:
Uncorrected formation energy (meV/atom): -311
Symmetry: No. 12
Fermi-level density of states (states/eV/atom): 0.094
Total energy (eV per atom): -4.3815
Distance to the lowest polymorph of the same formula (meV per atom): 0.0

Unit cell a=8.670 b=8.670 c=8.792 alpha=106.87 beta=106.87 gamma=22.41
Fractional coordinates of all 10 atoms:
Tl 0.090 0.090 0.370
Tl 0.910 0.910 0.630
Re 0.292 0.292 0.083
Re 0.708 0.708 0.917
Cl 0.105 0.105 0.990
Cl 0.249 0.249 0.708
Cl 0.420 0.420 0.333
Cl 0.580 0.580 0.667
Cl 0.751 0.751 0.292
Cl 0.895 0.895 0.010



No. 4
Below is a relaxed TlReCl crystal, with properties calculated at the PBE level.

Values from the calculation:
Uncorrected formation energy (meV/atom): 838
Symmetry: No. 107
Fermi-level density of states (states/eV/atom): 0.489
Total energy (eV per atom): -4.7154
Distance to the lowest polymorph of the same formula (meV per atom): 208.5

Unit cell a=7.721 b=7.721 c=7.721 alpha=157.35 beta=157.35 gamma=32.25
Fractional coordinates of all 3 atoms:
Tl 0.000 0.000 0.000
Re 0.334 0.334 0.000
Cl 0.754 0.754 0.000



No. 5
Below is a relaxed TlReCl crystal, with properties calculated at the PBE level.

Values from the calculation:
Uncorrected formation energy (meV/atom): 630
Symmetry: No. 156
Fermi-level density of states (states/eV/atom): 0.805
Total energy (eV per atom): -4.9239
Distance to the lowest polymorph of the same formula (meV per atom): 0.0

Unit cell a=3.052 b=3.052 c=8.183 alpha=90.00 beta=90.00 gamma=120.00
Fractional coordinates of all 3 atoms:
Tl 0.000 0.000 0.000
Re 0.333 0.667 0.673
Cl 0.667 0.333 0.464



No. 6
Below is a relaxed Tl3ReCl crystal, with properties calculated at the PBE level.

Values from the calculation:
Uncorrected formation energy (meV/atom): 1165
Symmetry: No. 221
Fermi-level density of states (states/eV/atom): 0.680
Total energy (eV per atom): -3.1138
Distance to the lowest polymorph of the same formula (meV per atom): 790.5

Unit cell a=5.709 b=5.709 c=5.709 alpha=90.00 beta=90.00 gamma=90.00
Fractional coordinates of all 5 atoms:
Tl 0.000 0.000 0.500
Tl 0.000 0.500 0.000
Tl 0.500 0.000 0.000
Re 0.500 0.500 0.500
Cl 0.000 0.000 0.000